DFT (PBE) results for crystalline Tm3InP2Rh9 at its relaxed geometry.

Magnetic moment   0.000 μB per atom
Calculated formation energy   -0.6300 eV/atom

abc: 6.0216 6.0216 9.4593
angles: 90.00 90.00 120.00
Last column: nearest neighbours and their distance in Å.
Space group P-3m1 (No. 164)
Symmetry-distinct sites (fractional):
Tm: 0.0000 0.0000 0.0000 (multiplicity 1)  12 Rh 2.90-3.01
Tm: 0.3333 0.6667 0.7404 (multiplicity 2)  9 Rh 3.01-3.02
In: 0.0000 0.0000 0.5000 (multiplicity 1)  6 Rh 2.74
P: 0.3333 0.6667 0.1585 (multiplicity 2)  6 Rh 2.16-2.30
Rh: 0.0000 0.5000 0.0000 (multiplicity 3)  2 P 2.30
Rh: 0.1478 0.2955 0.2603 (multiplicity 6)  1 P 2.16

---

DFT (PBE) results for crystalline YInP2Rh5 at its relaxed geometry.

Magnetic moment   0.000 μB per atom
Calculated formation energy   -0.6187 eV/atom

abc: 4.0449 4.0449 10.2096
angles: 90.00 90.00 90.00
Last column: nearest neighbours and their distance in Å.
Space group P4/mmm (No. 123)
Symmetry-distinct sites (fractional):
Y: 0.0000 0.0000 0.0000 (multiplicity 1)  4 Rh 2.86
In: 0.0000 0.0000 0.5000 (multiplicity 1)  8 Rh 2.74
P: 0.5000 0.5000 0.2202 (multiplicity 2)  5 Rh 2.25-2.26
Rh: 0.0000 0.5000 0.3187 (multiplicity 4)  2 P 2.26
Rh: 0.5000 0.5000 0.0000 (multiplicity 1)  2 P 2.25

---

DFT (PBE) results for crystalline Y2InP3Rh12 at its relaxed geometry.

Magnetic moment   0.000 μB per atom
Calculated formation energy   -0.2803 eV/atom

abc: 8.9256 8.9256 12.8784
angles: 90.00 90.00 120.00
Last column: nearest neighbours and their distance in Å.
Space group R-3m (No. 166, hexagonal axes)
Symmetry-distinct sites (fractional):
Y: 0.0000 0.0000 0.1268 (multiplicity 6)  3 Rh 2.57
In: 0.0000 0.0000 0.5000 (multiplicity 3)  6 Rh 2.63
P: 0.0000 0.5000 0.0000 (multiplicity 9)  2 Rh 2.22
Rh: 0.0064 0.5032 0.8279 (multiplicity 18)  1 P 2.22
Rh: 0.0232 0.5116 0.3816 (multiplicity 18)  2 P 2.57, 1 Rh 2.71

---

DFT (PBE) results for crystalline Y3InP2Rh9 at its relaxed geometry.

Magnetic moment   0.000 μB per atom
Calculated formation energy   -0.6127 eV/atom

abc: 6.0444 6.0444 9.4583
angles: 90.00 90.00 120.00
Last column: nearest neighbours and their distance in Å.
Space group P-3m1 (No. 164)
Symmetry-distinct sites (fractional):
Y: 0.0000 0.0000 0.0000 (multiplicity 1)  12 Rh 2.93-3.02
Y: 0.3333 0.6667 0.7296 (multiplicity 2)  9 Rh 3.03-3.10
In: 0.0000 0.0000 0.5000 (multiplicity 1)  6 Rh 2.73
P: 0.3333 0.6667 0.1581 (multiplicity 2)  6 Rh 2.17-2.30
Rh: 0.0000 0.5000 0.0000 (multiplicity 3)  2 P 2.30
Rh: 0.1484 0.2968 0.2623 (multiplicity 6)  1 P 2.17

---

DFT (PBE) results for crystalline In3PRu at its relaxed geometry.

Magnetic moment   0.328 μB per atom
Calculated formation energy   0.5376 eV/atom

abc: 5.1297 5.1297 5.1297
angles: 90.00 90.00 90.00
Last column: nearest neighbours and their distance in Å.
Space group Pm-3m (No. 221)
Symmetry-distinct sites (fractional):
In: 0.0000 0.0000 0.5000 (multiplicity 3)  2 Ru 2.56
P: 0.5000 0.5000 0.5000 (multiplicity 1)  12 In 3.63
Ru: 0.0000 0.0000 0.0000 (multiplicity 1)  6 In 2.56

---

DFT (PBE) results for crystalline InPRu2 at its relaxed geometry.

Magnetic moment   0.151 μB per atom
Calculated formation energy   0.1785 eV/atom

abc: 2.9973 2.9973 24.9420
angles: 90.00 90.00 120.00
Last column: nearest neighbours and their distance in Å.
Space group R3m (No. 160, hexagonal axes)
Symmetry-distinct sites (fractional):
In: 0.0000 0.0000 0.0000 (multiplicity 3)  3 Ru 2.78, 3 P 2.97, 6 In 3.00
P: 0.0000 0.0000 0.7633 (multiplicity 3)  3 Ru 2.33
Ru: 0.0000 0.0000 0.2463 (multiplicity 3)  3 In 2.78, 9 Ru 2.78-3.00
Ru: 0.0000 0.0000 0.4923 (multiplicity 3)  3 P 2.33